# 1
First-principles (GGA-PBE) data for a relaxed KTl6Sn6 crystal, as listed in Alexandria.

The structure belongs to space group Immm (No. 71); the cell edges are 6.482, 10.985 and 11.425 Å and the angles 90.00°, 90.00° and 90.00°. Symmetry generates all atoms from K at (0.000, 0.000, 0.000), Tl at (0.000, 0.000, 0.356), Tl at (0.000, 0.310, 0.500), Tl at (0.000, 0.349, 0.000), Sn at (0.000, 0.500, 0.270) and Sn at (0.250, 0.250, 0.250).

For the density of states at the Fermi level, the calculation gives 7.48 states/eV/f.u. Its electronic total energy is -78.717 eV for the cell shown. Its formation energy is -0.0036 eV per atom. As for the crystal system: orthorhombic.

***

# 2
First-principles (GGA-PBE) data for a relaxed TlCuAs2Au crystal, as listed in Alexandria.

The structure belongs to space group P4/mmm (No. 123); the cell edges are 5.340, 5.340 and 5.204 Å and the angles 90.00°, 90.00° and 90.00°. Symmetry generates all atoms from Tl at (0.000, 0.000, 0.000), Cu at (0.500, 0.500, 0.500), As at (0.000, 0.500, 0.000) and Au at (0.000, 0.000, 0.500).

For the density of states at the Fermi level, the calculation gives 4.54 states/eV/f.u. Its electronic total energy is -12.554 eV for the cell shown. Its formation energy is 1.2969 eV per atom. As for the crystal system: tetragonal.

***

# 3
First-principles (GGA-PBE) data for a relaxed CoNi6Pt3 crystal, as listed in Alexandria.

The structure belongs to space group P2_1/c (No. 14); the cell edges are 3.952, 7.725 and 8.545 Å and the angles 90.00°, 90.03° and 90.00°. Symmetry generates all atoms from Co at (0.000, 0.000, 0.000), Ni at (0.000, 0.187, 0.431), Ni at (0.498, 0.144, 0.207), Ni at (0.500, 0.142, 0.914), Pt at (0.000, 0.100, 0.715) and Pt at (0.500, 0.000, 0.500).

For the density of states at the Fermi level, the calculation gives 17.77 states/eV/f.u. Its electronic total energy is -117.250 eV for the cell shown. Its formation energy is 0.1291 eV per atom. As for the crystal system: monoclinic.

***

# 4
First-principles (GGA-PBE) data for a relaxed TmPaS2 crystal, as listed in Alexandria.

The structure belongs to space group R-3m (No. 166, hexagonal axes); the cell edges are 3.7300, 3.7300 and 20.3179 Å and the angles 90.00°, 90.00° and 120.00°. Symmetry generates all atoms from Tm at (0.0000, 0.0000, 0.0000), Pa at (0.0000, 0.0000, 0.5000) and S at (0.0000, 0.0000, 0.2544).

For the density of states at the Fermi level, the calculation gives 3.90 states/eV/f.u. Its electronic total energy is -87.687 eV for the cell shown. The energy above the most stable polymorph in this dataset is 0 meV/atom. As for the energy relative to the elements, uncorrected: -169.0 kJ per mole of atoms. As for the crystal system: trigonal.

***

# 5
First-principles (GGA-PBE) data for a relaxed Dy2Si5Os3 crystal, as listed in Alexandria.

The structure belongs to space group Ibam (No. 72); the cell edges are 9.647, 12.123 and 5.659 Å and the angles 90.00°, 90.00° and 90.00°. Symmetry generates all atoms from Dy at (0.232, 0.135, 0.000), Si at (0.000, 0.000, 0.250), Si at (0.000, 0.292, 0.250), Si at (0.168, 0.404, 0.000), Os at (0.000, 0.500, 0.250) and Os at (0.096, 0.147, 0.500).

For the density of states at the Fermi level, the calculation gives 3.10 states/eV/f.u. Its electronic total energy is -309.078 eV for the cell shown. As for the energy relative to the elements, uncorrected: -70.1 kJ per mole of atoms. As for the crystal system: orthorhombic.

***

# 6
First-principles (GGA-PBE) data for a relaxed Tm3Cd2In crystal, as listed in Alexandria.

The structure belongs to space group P4/mmm (No. 123); the cell edges are 3.719, 3.719 and 11.012 Å and the angles 90.00°, 90.00° and 90.00°. Symmetry generates all atoms from Tm at (0.000, 0.000, 0.000), Tm at (0.000, 0.000, 0.330), Cd at (0.500, 0.500, 0.164) and In at (0.500, 0.500, 0.500).

For the density of states at the Fermi level, the calculation gives 5.20 states/eV/f.u. Its electronic total energy is -20.101 eV for the cell shown. Its formation energy is -0.3530 eV per atom. The energy above the most stable polymorph in this dataset is 4 meV/atom. As for the crystal system: tetragonal.

***

# 7
First-principles (GGA-PBE) data for a relaxed Nd3Ho4Cd2 crystal, as listed in Alexandria.

The structure belongs to space group C2/c (No. 15); the cell edges are 14.801, 11.844 and 6.437 Å and the angles 90.00°, 100.03° and 90.00°. Symmetry generates all atoms from Nd at (0.000, 0.027, 0.250), Nd at (0.101, 0.432, 0.083), Ho at (0.079, 0.266, 0.577), Ho at (0.186, 0.145, 0.071) and Cd at (0.233, 0.111, 0.563).

For the density of states at the Fermi level, the calculation gives 10.75 states/eV/f.u. Its electronic total energy is -138.437 eV for the cell shown. Its formation energy is -0.0183 eV per atom. As for the crystal system: monoclinic.

***

# 8
First-principles (GGA-PBE) data for a relaxed SrYB crystal, as listed in Alexandria.

The structure belongs to space group Pnma (No. 62); the cell edges are 8.049, 4.849 and 7.450 Å and the angles 90.00°, 90.00° and 90.00°. Symmetry generates all atoms from Sr at (0.053, 0.250, 0.163), Y at (0.145, 0.250, 0.599) and B at (0.179, 0.750, 0.405).

For the density of states at the Fermi level, the calculation gives 0.00 states/eV/f.u. Its electronic total energy is -56.871 eV for the cell shown. Its formation energy is 0.2018 eV per atom. The energy above the most stable polymorph in this dataset is 218 meV/atom. As for the crystal system: orthorhombic.

***

# 9
First-principles (GGA-PBE) data for a relaxed Pm3Ga4Co2 crystal, as listed in Alexandria.

The structure belongs to space group C2/m (No. 12); the cell edges are 10.512, 4.382 and 8.156 Å and the angles 90.00°, 102.86° and 90.00°. Symmetry generates all atoms from Pm at (0.000, 0.000, 0.000), Pm at (0.117, 0.500, 0.695), Ga at (0.107, 0.000, 0.407), Ga at (0.217, 0.500, 0.087) and Co at (0.191, 0.500, 0.374).

For the density of states at the Fermi level, the calculation gives 8.05 states/eV/f.u. Its electronic total energy is -90.042 eV for the cell shown. Its formation energy is -0.4944 eV per atom. As for the crystal system: monoclinic.